[1]
Ta2Tc3: optimized geometry, PBE-GGA.

Computed properties:
As for the offset from the most stable computed form: 0.00 eV/f.u. Its formation energy from the elements is -0.46 eV per formula unit.

Lattice parameters (Å, degrees): 5.377 8.947 13.508 90.00 90.00 90.00
Space group Fddd (No. 70, origin choice 2)
Asymmetric unit:
Ta: 0.125 0.125 0.322 x16
Tc: 0.125 0.125 0.125 x8
Tc: 0.125 0.125 0.530 x16

[2]
LiSnAu5: optimized geometry, PBE-GGA.

Computed properties:
As for the offset from the most stable computed form: 1.09 eV/f.u. Its formation energy from the elements is -0.29 eV per formula unit.

Lattice parameters (Å, degrees): 5.503 6.816 7.706 90.00 90.00 90.00
Space group Imm2 (No. 44)
Asymmetric unit:
Li: 0.000 0.000 0.000 x2
Sn: 0.000 0.500 0.135 x2
Au: 0.000 0.000 0.684 x2
Au: 0.000 0.303 0.457 x4
Au: 0.244 0.500 0.776 x4

[3]
Tb2PdSe: optimized geometry, PBE-GGA.

Computed properties:
As for the offset from the most stable computed form: 0.42 eV/f.u. The energy relative to the elements, uncorrected comes out at -1.220 eV/atom.

Lattice parameters (Å, degrees): 4.0250 4.0250 21.6548 90.00 90.00 120.00
Space group R3m (No. 160, hexagonal axes)
Asymmetric unit:
Tb: 0.0000 0.0000 0.0000 x3
Tb: 0.0000 0.0000 0.1823 x3
Pd: 0.0000 0.0000 0.5911 x3
Se: 0.0000 0.0000 0.7587 x3

[4]
Ba3NdNp2O9: optimized geometry, PBE-GGA.

Computed properties:
The energy relative to the elements, uncorrected comes out at -2.996 eV/atom.

Lattice parameters (Å, degrees): 6.3003 6.3003 7.7183 90.00 90.00 120.00
Space group P-3m1 (No. 164)
Asymmetric unit:
Ba: 0.0000 0.0000 0.0000 x1
Ba: 0.3333 0.6667 0.6613 x2
Nd: 0.0000 0.0000 0.5000 x1
Np: 0.3333 0.6667 0.1624 x2
O: 0.0000 0.5000 0.0000 x3
O: 0.1735 0.3469 0.3239 x6

[5]
InPd3Rh: optimized geometry, PBE-GGA.

Computed properties:
Its formation energy from the elements is 4.08 eV per formula unit.

Lattice parameters (Å, degrees): 4.842 4.842 4.842 90.00 90.00 90.00
Space group Pm-3m (No. 221)
Asymmetric unit:
In: 0.000 0.000 0.000 x1
Pd: 0.000 0.500 0.500 x3
Rh: 0.500 0.500 0.500 x1

[6]
Sr3Li2Au9: optimized geometry, PBE-GGA.

Computed properties:
Its formation energy from the elements is -8.60 eV per formula unit.

Lattice parameters (Å, degrees): 4.503 10.372 13.561 90.00 90.00 90.00
Space group Immm (No. 71)
Asymmetric unit:
Sr: 0.000 0.000 0.000 x2
Sr: 0.000 0.000 0.301 x4
Li: 0.000 0.209 0.500 x4
Au: 0.000 0.285 0.121 x8
Au: 0.000 0.365 0.337 x8
Au: 0.000 0.500 0.000 x2

[7]
Li3PmU2Se6: optimized geometry, PBE-GGA.

Computed properties:
The energy relative to the elements, uncorrected comes out at -1.333 eV/atom.

Lattice parameters (Å, degrees): 7.077 12.258 6.980 90.00 109.79 90.00
Space group C2/m (No. 12)
Asymmetric unit:
Li: 0.000 0.000 0.000 x2
Li: 0.000 0.335 0.000 x4
Pm: 0.000 0.500 0.500 x2
U: 0.000 0.167 0.500 x4
Se: 0.244 0.170 0.241 x8
Se: 0.248 0.000 0.761 x4

[8]
YVFe2Mo: optimized geometry, PBE-GGA.

Computed properties:
Its formation energy from the elements is 3.57 eV per formula unit.

Lattice parameters (Å, degrees): 4.347 4.347 4.558 90.00 90.00 90.00
Space group P4/mmm (No. 123)
Asymmetric unit:
Y: 0.000 0.000 0.000 x1
V: 0.500 0.500 0.500 x1
Fe: 0.000 0.500 0.500 x2
Mo: 0.500 0.500 0.000 x1